# 1
VASP calculation (SCAN) on a PBEsol-optimized structure of CuPPd3.

## Properties
For the volume, the calculation gives 88.51 Å³ per cell. The density of states at the Fermi level comes out at 5.23 states/eV per cell. The final energy comes out at -23.800 eV per atom. Its crystal system is cubic.

The structure in extended XYZ format:
```
5
Lattice="4.457 0.000 0.000 0.000 4.457 0.000 0.000 0.000 4.457" Properties=species:S:1:pos:R:3 pbc="T T T"
Cu 0.000 0.000 0.000
Pd 2.228 0.000 0.000
P 2.228 2.228 2.228
Pd 0.000 2.228 0.000
Pd 0.000 0.000 2.228
```

---

# 2
VASP calculation (SCAN) on a PBEsol-optimized structure of CuP2PdS.

## Properties
For the volume, the calculation gives 98.23 Å³ per cell. The density of states at the Fermi level comes out at 4.13 states/eV per cell. The final energy comes out at -14.645 eV per atom. Its crystal system is tetragonal. As for the formation energy (no corrections): 99.8 kJ per mole of atoms.

The structure in extended XYZ format:
```
5
Lattice="4.508 0.000 0.000 0.000 4.508 0.000 0.000 0.000 4.832" Properties=species:S:1:pos:R:3 pbc="T T T"
P 2.254 0.000 0.000
S 0.000 0.000 2.416
Cu 2.254 2.254 2.416
P 0.000 2.254 0.000
Pd 0.000 0.000 0.000
```

---

# 3
VASP calculation (SCAN) on a PBEsol-optimized structure of PrCu4P2.

## Properties
For the volume, the calculation gives 604.72 Å³ per cell. The density of states at the Fermi level comes out at 7.75 states/eV per cell. The final energy comes out at -18.428 eV per atom. Its crystal system is orthorhombic.

The structure in extended XYZ format:
```
42
Lattice="3.841 0.000 0.000 0.000 10.883 0.000 0.000 0.000 14.466" Properties=species:S:1:pos:R:3 pbc="T T T"
Cu 0.000 0.757 6.320
Cu 1.920 2.556 0.523
Pr 1.920 6.768 11.185
P 1.920 10.231 9.593
P 0.000 3.970 5.578
P 0.000 8.639 12.594
Pr 0.000 9.557 3.952
Cu 1.920 10.064 12.017
P 1.920 7.686 5.361
Cu 0.000 4.351 0.766
Cu 0.000 2.886 7.756
Cu 0.000 6.261 4.784
Cu 1.920 8.327 13.943
P 0.000 6.914 8.888
Cu 0.000 4.622 9.682
Cu 1.920 6.198 0.914
P 1.920 1.472 12.811
P 1.920 3.198 9.105
Cu 1.920 8.236 8.498
Cu 1.920 3.563 11.370
Pr 0.000 1.326 10.514
Pr 0.000 0.000 0.000
Cu 1.920 4.685 13.553
P 0.000 2.244 1.872
Cu 0.000 8.089 1.265
Cu 1.920 1.091 7.999
Cu 1.920 0.819 2.449
P 0.000 6.094 2.360
P 1.920 0.653 4.873
Cu 0.000 2.794 13.201
Pr 1.920 5.442 7.233
Pr 1.920 4.115 3.281
Cu 1.920 9.793 6.467
Cu 0.000 7.998 6.710
Cu 0.000 6.532 13.700
P 0.000 4.789 12.106
Cu 0.000 10.127 8.147
P 1.920 9.411 1.655
Cu 0.000 9.004 10.329
Cu 1.920 2.648 5.968
Cu 1.920 7.321 3.096
Cu 0.000 1.879 4.137
```

---

# 4
VASP calculation (SCAN) on a PBEsol-optimized structure of CuPPt4.

## Properties
For the volume, the calculation gives 97.26 Å³ per cell. The density of states at the Fermi level comes out at 6.33 states/eV per cell. The final energy comes out at -50.603 eV per atom. Its crystal system is cubic.

The structure in extended XYZ format:
```
6
Lattice="5.162 0.000 0.000 2.581 4.470 0.000 2.581 1.490 4.215" Properties=species:S:1:pos:R:3 pbc="T T T"
Pt 5.162 2.980 3.686
Pt 3.873 2.236 1.581
P 0.000 0.000 0.000
Pt 6.451 2.236 1.581
Pt 5.162 4.469 1.581
Cu 7.743 4.470 3.161
```

---

# 5
VASP calculation (SCAN) on a PBEsol-optimized structure of CuPPt3.

## Properties
For the volume, the calculation gives 85.68 Å³ per cell. The density of states at the Fermi level comes out at 4.05 states/eV per cell. The final energy comes out at -46.941 eV per atom. Its crystal system is cubic.

The structure in extended XYZ format:
```
5
Lattice="-1.493 3.250 2.578 -3.079 -2.704 1.626 2.780 -1.250 3.186" Properties=species:S:1:pos:R:3 pbc="T T T"
P 0.000 0.000 0.000
Pt -0.747 1.625 1.289
Pt 1.390 -0.625 1.593
Cu -0.896 -0.352 3.695
Pt -1.539 -1.352 0.813
```

---

# 6
VASP calculation (SCAN) on a PBEsol-optimized structure of CuPPt.

## Properties
For the volume, the calculation gives 42.90 Å³ per cell. The density of states at the Fermi level comes out at 1.63 states/eV per cell. The final energy comes out at -32.157 eV per atom. Its crystal system is cubic.

The structure in extended XYZ format:
```
3
Lattice="-3.329 -1.639 -1.292 0.142 -3.117 -2.388 -1.090 -3.537 1.319" Properties=species:S:1:pos:R:3 pbc="T T T"
P -1.069 -2.073 -0.590
Cu -2.139 -4.146 -1.181
Pt 0.000 0.000 0.000
```